Record 1
Material: Ca2Sc2Ir
Method: DFT, PBE
State: optimized geometry

The calculation puts the density of states at the Fermi level at 0.755 states/eV per atom. The calculation puts the excess energy over the best structure of this formula in the dataset at 2.56 eV/f.u. The value obtained for the calculated volume is 263.04 Å³/cell. The energy comes out at -4.761 eV per atom. The formation enthalpy at 0 K is 1.7 eV/f.u.

The structure belongs to space group P4/mbm (No. 127); the cell edges are 6.995, 6.995 and 5.376 Å and the angles 90.00°, 90.00° and 90.00°. The distinct sites, in fractional coordinates, are Ca at (0.152, 0.348, 0.000), Sc at (0.178, 0.678, 0.500) and Ir at (0.000, 0.000, 0.000).

***

Record 2
Material: Ca2ScIr
Method: DFT, PBE
State: optimized geometry

The calculation puts the density of states at the Fermi level at 0.518 states/eV per atom. The calculation puts the excess energy over the best structure of this formula in the dataset at 1.11 eV/f.u. The value obtained for the calculated volume is 524.64 Å³/cell. The energy comes out at -4.865 eV per atom. The formation enthalpy at 0 K is -0.3 eV/f.u.

The structure belongs to space group I-42d (No. 122); the cell edges are 10.206, 10.206 and 5.037 Å and the angles 90.00°, 90.00° and 90.00°. The distinct sites, in fractional coordinates, are Ca at (0.111, 0.250, 0.125), Sc at (0.000, 0.000, 0.500) and Ir at (0.000, 0.000, 0.000).

***

- The highest energy belongs to which entry?
  Ca2Sc2Ir

***

- Which value of formation enthalpy at 0 K does entry 1 give?
  1.7 eV/f.u.

***

- Look up the energy of the second one.
  -4.865 eV per atom

***

- Which value of formation enthalpy at 0 K does entry 1 give?
  1.7 eV/f.u.